A relaxed SrCuTc2 crystal, computed with PBE.

Output
- E_form (eV per atom) = 1.013
- density of states at the Fermi level (states/eV/cell) = 19.53

a b c (Å): 2.8394 2.8394 29.4761
angles (deg): 90.00 90.00 120.00
Space group R-3m (No. 166, hexagonal axes)
Inequivalent atoms, fractional coordinates:
Sr 0.0000 0.0000 0.0000 x3
Cu 0.0000 0.0000 0.5000 x3
Tc 0.0000 0.0000 0.2377 x6

A relaxed KNa5Sn2 crystal, computed with PBE.

Output
- E_form (eV per atom) = -0.066
- density of states at the Fermi level (states/eV/cell) = 8.10

a b c (Å): 8.865 8.865 13.897
angles (deg): 90.00 90.00 90.00
Space group I4/mcm (No. 140)
Inequivalent atoms, fractional coordinates:
K 0.000 0.000 0.250 x4
Na 0.000 0.000 0.000 x4
Na 0.159 0.341 0.134 x16
Sn 0.129 0.371 0.500 x8

A relaxed CeUBiN2 crystal, computed with PBE.

Output
- density of states at the Fermi level (states/eV/cell) = 14.84
- energy relative to the elements, uncorrected (eV per atom) = -1.26

a b c (Å): 3.937 3.937 12.982
angles (deg): 90.00 90.00 90.00
Space group I4mm (No. 107)
Inequivalent atoms, fractional coordinates:
Ce 0.000 0.000 0.000 x2
U 0.000 0.000 0.325 x2
Bi 0.000 0.000 0.665 x2
N 0.000 0.500 0.401 x4

A relaxed Li2Ho2MgCd5 crystal, computed with PBE.

Output
- E_form (eV per atom) = -0.224
- density of states at the Fermi level (states/eV/cell) = 9.59

a b c (Å): 10.539 10.539 3.885
angles (deg): 90.00 90.00 90.00
Space group P4/mbm (No. 127)
Inequivalent atoms, fractional coordinates:
Li 0.118 0.382 0.000 x4
Ho 0.180 0.680 0.000 x4
Mg 0.000 0.000 0.000 x2
Cd 0.000 0.500 0.500 x2
Cd 0.061 0.207 0.500 x8

A relaxed KCr2Mo crystal, computed with PBE.

Output
- E_form (eV per atom) = 1.570
- density of states at the Fermi level (states/eV/cell) = 8.35

a b c (Å): 4.715 4.715 6.656
angles (deg): 90.00 90.00 90.00
Space group I-4m2 (No. 119)
Inequivalent atoms, fractional coordinates:
K 0.000 0.000 0.000 x2
Cr 0.000 0.000 0.500 x2
Cr 0.000 0.500 0.250 x2
Mo 0.000 0.500 0.750 x2

A relaxed Rb2PrCuF6 crystal, computed with PBE.

Output
- density of states at the Fermi level (states/eV/cell) = 0.00
- energy relative to the elements, uncorrected (eV per atom) = -2.88

a b c (Å): 5.587 6.637 7.063
angles (deg): 112.98 111.87 96.53
Space group P-1 (No. 2)
Inequivalent atoms, fractional coordinates:
Rb 0.242 0.210 0.429 x2
Pr 0.000 0.500 0.000 x1
Cu 0.500 0.000 0.000 x1
F 0.123 0.758 0.377 x2
F 0.210 0.826 0.993 x2
F 0.381 0.407 0.164 x2

A relaxed KHo4Se6 crystal, computed with PBE.

Output
- density of states at the Fermi level (states/eV/cell) = 9.11
- energy relative to the elements, uncorrected (eV per atom) = -1.77

a b c (Å): 4.107 13.627 21.636
angles (deg): 90.00 90.00 90.00
Space group Cmcm (No. 63)
Inequivalent atoms, fractional coordinates:
K 0.000 0.156 0.250 x4
Ho 0.000 0.097 0.633 x8
Ho 0.000 0.367 0.541 x8
Se 0.000 0.000 0.000 x4
Se 0.000 0.162 0.750 x4
Se 0.000 0.272 0.080 x8
Se 0.000 0.461 0.654 x8

A relaxed Pu4CdO12 crystal, computed with PBE.

Output
- density of states at the Fermi level (states/eV/cell) = 27.67
- energy relative to the elements, uncorrected (eV per atom) = -2.41

a b c (Å): 8.125 8.172 8.265
angles (deg): 90.00 90.00 90.00
Space group Immm (No. 71)
Inequivalent atoms, fractional coordinates:
Pu 0.250 0.250 0.250 x8
Cd 0.000 0.000 0.000 x2
O 0.000 0.278 0.287 x8
O 0.196 0.202 0.000 x8
O 0.222 0.000 0.287 x8

A relaxed Ac2Bi3SbRh4 crystal, computed with PBE.

Output
- density of states at the Fermi level (states/eV/cell) = 9.25
- energy relative to the elements, uncorrected (eV per atom) = -0.60

a b c (Å): 4.778 4.778 10.666
angles (deg): 90.00 90.00 90.00
Space group P-4m2 (No. 115)
Inequivalent atoms, fractional coordinates:
Ac 0.000 0.500 0.245 x2
Bi 0.000 0.500 0.872 x2
Bi 0.500 0.500 0.500 x1
Sb 0.000 0.000 0.500 x1
Rh 0.000 0.000 0.000 x1
Rh 0.000 0.500 0.620 x2
Rh 0.500 0.500 0.000 x1

A relaxed Ca2MgZn6 crystal, computed with PBE.

Output
- E_form (eV per atom) = -0.203
- density of states at the Fermi level (states/eV/cell) = 4.26

a b c (Å): 5.8224 5.8224 6.2083
angles (deg): 90.00 90.00 120.00
Space group P-3m1 (No. 164)
Inequivalent atoms, fractional coordinates:
Ca 0.3333 0.6667 0.1429 x2
Mg 0.0000 0.0000 0.0000 x1
Zn 0.1781 0.3561 0.6523 x6

A relaxed Li4Nd3Pt4 crystal, computed with PBE.

Output
- E_form (eV per atom) = -0.768
- density of states at the Fermi level (states/eV/cell) = 10.34

a b c (Å): 4.082 7.542 14.239
angles (deg): 90.00 90.00 90.00
Space group Immm (No. 71)
Inequivalent atoms, fractional coordinates:
Li 0.000 0.190 0.176 x8
Nd 0.000 0.000 0.375 x4
Nd 0.000 0.500 0.500 x2
Pt 0.000 0.305 0.000 x4
Pt 0.000 0.500 0.279 x4

A relaxed DySc2In2 crystal, computed with PBE.

Output
- E_form (eV per atom) = -0.291
- density of states at the Fermi level (states/eV/cell) = 9.78

a b c (Å): 8.717 8.717 3.250
angles (deg): 90.00 90.00 90.00
Space group P4/mbm (No. 127)
Inequivalent atoms, fractional coordinates:
Dy 0.000 0.000 0.000 x2
Sc 0.121 0.379 0.000 x4
In 0.177 0.677 0.500 x4

A relaxed Ho2Cu2P3 crystal, computed with PBE.

Output
- E_form (eV per atom) = -0.956
- density of states at the Fermi level (states/eV/cell) = 2.25

a b c (Å): 14.433 3.939 10.866
angles (deg): 90.00 126.17 90.00
Space group C2/m (No. 12)
Inequivalent atoms, fractional coordinates:
Ho 0.105 0.000 0.442 x4
Ho 0.237 0.000 0.841 x4
Cu 0.048 0.500 0.818 x4
Cu 0.088 0.000 0.154 x4
P 0.078 0.500 0.623 x4
P 0.115 0.000 0.963 x4
P 0.160 0.500 0.310 x4

A relaxed PrPaCoN4 crystal, computed with PBE.

Output
- density of states at the Fermi level (states/eV/cell) = 8.28
- energy relative to the elements, uncorrected (eV per atom) = -0.78

a b c (Å): 5.658 5.074 6.959
angles (deg): 90.00 107.75 90.00
Space group P2_1/m (No. 11)
Inequivalent atoms, fractional coordinates:
Pr 0.210 0.250 0.435 x2
Pa 0.256 0.250 0.946 x2
Co 0.277 0.750 0.203 x2
N 0.057 0.750 0.350 x2
N 0.089 0.750 0.940 x2
N 0.489 0.005 0.768 x4

A relaxed LiMnCo2 crystal, computed with PBE.

Output
- E_form (eV per atom) = 0.198
- density of states at the Fermi level (states/eV/cell) = 8.09

a b c (Å): 2.785 4.100 8.059
angles (deg): 90.00 90.00 90.00
Space group Immm (No. 71)
Inequivalent atoms, fractional coordinates:
Li 0.000 0.000 0.000 x2
Mn 0.000 0.000 0.500 x2
Co 0.000 0.500 0.244 x4

A relaxed CeTe2As2Pd7 crystal, computed with PBE.

Output
- density of states at the Fermi level (states/eV/cell) = 21.74
- energy relative to the elements, uncorrected (eV per atom) = -0.46

a b c (Å): 5.737 5.736 15.293
angles (deg): 90.00 100.68 90.00
Space group C2/m (No. 12)
Inequivalent atoms, fractional coordinates:
Ce 0.000 0.000 0.000 x2
Te 0.209 0.000 0.418 x4
As 0.120 0.500 0.241 x4
Pd 0.000 0.500 0.000 x2
Pd 0.179 0.250 0.856 x8
Pd 0.202 0.500 0.403 x4

A relaxed CaMoN3 crystal, computed with PBE.

Output
- density of states at the Fermi level (states/eV/cell) = 0.00
- energy relative to the elements, uncorrected (eV per atom) = -0.53

a b c (Å): 3.565 5.329 7.767
angles (deg): 82.98 87.84 87.86
Space group P1 (No. 1)
Inequivalent atoms, fractional coordinates:
Ca 0.000 0.000 0.000 x1
Ca 0.018 0.990 0.557 x1
Mo 0.518 0.521 0.756 x1
Mo 0.528 0.521 0.303 x1
N 0.012 0.630 0.825 x1
N 0.061 0.348 0.312 x1
N 0.506 0.754 0.123 x1
N 0.523 0.676 0.526 x1
N 0.530 0.182 0.758 x1
N 0.813 0.181 0.274 x1

A relaxed PrDy2Ho4Sc crystal, computed with PBE.

Output
- E_form (eV per atom) = 0.439
- density of states at the Fermi level (states/eV/cell) = 72.01

a b c (Å): 13.430 13.088 6.734
angles (deg): 90.00 120.09 90.00
Space group C2/c (No. 15)
Inequivalent atoms, fractional coordinates:
Pr 0.000 0.000 0.000 x4
Dy 0.000 0.500 0.000 x4
Dy 0.250 0.250 0.000 x4
Ho 0.000 0.252 0.006 x8
Ho 0.248 0.491 0.500 x8
Sc 0.250 0.250 0.500 x4

A relaxed ZrAlTcPd crystal, computed with PBE.

Output
- E_form (eV per atom) = -0.563
- density of states at the Fermi level (states/eV/cell) = 5.09

a b c (Å): 6.393 6.393 6.393
angles (deg): 90.00 90.00 90.00
Space group F-43m (No. 216)
Inequivalent atoms, fractional coordinates:
Zr 0.000 0.000 0.000 x4
Al 0.000 0.000 0.500 x4
Tc 0.250 0.250 0.750 x4
Pd 0.250 0.250 0.250 x4

A relaxed ZrGe2SbSe crystal, computed with PBE.

Output
- density of states at the Fermi level (states/eV/cell) = 4.50
- energy relative to the elements, uncorrected (eV per atom) = 0.33

a b c (Å): 5.330 5.330 5.050
angles (deg): 90.00 90.00 90.00
Space group P4/mmm (No. 123)
Inequivalent atoms, fractional coordinates:
Zr 0.000 0.000 0.000 x1
Ge 0.000 0.500 0.000 x2
Sb 0.500 0.500 0.500 x1
Se 0.000 0.000 0.500 x1

A relaxed Ac6GaOs crystal, computed with PBE.

Output
- E_form (eV per atom) = -0.036
- density of states at the Fermi level (states/eV/cell) = 31.47

a b c (Å): 7.4345 7.4345 21.0926
angles (deg): 90.00 90.00 120.00
Space group R-3 (No. 148, hexagonal axes)
Inequivalent atoms, fractional coordinates:
Ac 0.0036 0.6449 0.0841 x18
Ga 0.0000 0.0000 0.0000 x3
Os 0.0000 0.0000 0.5000 x3

A relaxed KNa2CuSi crystal, computed with PBE.

Output
- density of states at the Fermi level (states/eV/cell) = 1.92
- energy relative to the elements, uncorrected (eV per atom) = 0.11

a b c (Å): 5.575 5.575 4.483
angles (deg): 90.00 90.00 90.00
Space group P4/mmm (No. 123)
Inequivalent atoms, fractional coordinates:
K 0.000 0.000 0.000 x1
Na 0.000 0.500 0.500 x2
Cu 0.500 0.500 0.500 x1
Si 0.500 0.500 0.000 x1